Entry from the Alexandria database: crystalline K2NiSe at its relaxed geometry (PBE-GGA).

a b c (Å): 3.5042 3.5042 9.2651
angles (deg): 90.00 90.00 90.00
Last column: nearest neighbours and their distance in Å.
Fractional positions:
K: 0.0000 0.0000 0.2350  4 Se 3.30, 4 Ni 3.49, 4 K 3.50
K: 0.0000 0.0000 0.7650  4 Se 3.30, 4 Ni 3.49, 4 K 3.50
Ni: 0.5000 0.5000 0.5000  8 K 3.49, 4 Ni 3.50
Se: 0.5000 0.5000 0.0000  8 K 3.30, 4 Se 3.50

Summary:
Symmetry: No. 123
ΔE_f (raw) (eV/f.u.): 0.67
Magnetic moment (μB per cell): 0.78
Crystal system: tetragonal

=====

Entry from the Alexandria database: crystalline BaSO at its relaxed geometry (PBE-GGA).

a b c (Å): 4.4393 5.0777 6.7033
angles (deg): 91.80 107.75 90.24
Last column: nearest neighbours and their distance in Å.
Fractional positions:
Ba: 0.0000 0.0000 0.0000  3 O 2.62-2.68
Ba: 0.2742 0.5473 0.4966  3 O 2.67-2.68
S: 0.5144 0.4859 0.0307  1 O 1.70
S: 0.7196 0.0513 0.4369  1 O 1.72
O: 0.8289 0.8064 0.6149  1 S 1.72
O: 0.9149 0.5042 0.0966  1 S 1.70

Summary:
Symmetry: No. 1
ΔE_f (raw) (eV/f.u.): -5.21
Magnetic moment (μB per cell): 0.00
Crystal system: triclinic